1.
Ac6Bi2As3Se | PBE-GGA | optimized geometry

Cell: 4.6389 9.3282 10.4096 Å, 103.44 102.87 90.00°
With the nearest neighbours (Å) after each atom.
Fractional positions:
1 Ac 0.3320 0.9294 0.6640  3 As 3.19-3.27, 1 Se 3.32, 2 Bi 3.37
2 Se 0.5000 0.0000 0.0000  6 Ac 3.32-3.33
3 As 0.8337 0.1650 0.6675  6 Ac 3.19-3.27
4 As 0.5000 0.5000 0.0000  6 Ac 3.20-3.25
5 Bi 0.1656 0.3310 0.3311  6 Ac 3.35-3.40
6 Ac 0.6621 0.5938 0.3242  3 As 3.20-3.22, 3 Bi 3.39-3.40
7 Ac 0.6680 0.0706 0.3360  3 As 3.19-3.27, 1 Se 3.32, 2 Bi 3.37
8 As 0.1663 0.8350 0.3325  6 Ac 3.19-3.27
9 Ac 0.9955 0.2544 0.9910  3 As 3.19-3.25, 2 Se 3.33, 1 Bi 3.35
10 Ac 0.0045 0.7456 0.0090  3 As 3.19-3.25, 2 Se 3.33, 1 Bi 3.35
11 Ac 0.3379 0.4062 0.6758  3 As 3.20-3.22, 3 Bi 3.39-3.40
12 Bi 0.8344 0.6690 0.6689  6 Ac 3.35-3.40

Results
**Space-group type**: C2/m, No. 12
**Formation energy (no corrections)**: -1.395 eV per atom
**E**: -5.549 eV per atom

---

2.
Ac8Bi4AsSe3 | PBE-GGA | optimized geometry

Cell: 9.3910 9.3601 9.3910 Å, 120.11 120.00 90.00°
With the nearest neighbours (Å) after each atom.
Fractional positions:
1 Ac 0.7456 0.7370 0.4913  3 Se 3.26, 3 Bi 3.37
2 Bi 0.5000 0.0000 0.0000  6 Ac 3.41-3.42
3 As 0.0000 0.5000 0.0000  6 Ac 3.22
4 Ac 0.2424 0.7341 0.9917  1 As 3.22, 2 Se 3.26, 3 Bi 3.37-3.42
5 Se 0.0000 0.5000 0.5000  6 Ac 3.26
6 Bi 0.0000 0.0000 0.5000  6 Ac 3.37
7 Ac 0.2508 0.2659 0.0083  1 As 3.22, 2 Se 3.26, 3 Bi 3.37-3.42
8 Ac 0.2544 0.2630 0.5087  3 Se 3.26, 3 Bi 3.37
9 Ac 0.7492 0.7341 0.9917  1 As 3.22, 2 Se 3.26, 3 Bi 3.37-3.42
10 Ac 0.7576 0.2659 0.0083  1 As 3.22, 2 Se 3.26, 3 Bi 3.37-3.42
11 Bi 0.5000 0.0000 0.5000  6 Ac 3.37
12 Bi 0.0000 0.0000 0.0000  6 Ac 3.37
13 Ac 0.2425 0.7342 0.4850  1 As 3.22, 2 Se 3.26, 3 Bi 3.37-3.41
14 Ac 0.7575 0.2658 0.5150  1 As 3.22, 2 Se 3.26, 3 Bi 3.37-3.41
15 Se 0.5000 0.5000 0.0000  6 Ac 3.26
16 Se 0.5000 0.5000 0.5000  6 Ac 3.26

Results
**Space-group type**: R-3m, No. 166
**Formation energy (no corrections)**: -1.385 eV per atom
**E**: -5.354 eV per atom

---

3.
Ac6BiAs3Se2 | PBE-GGA | optimized geometry

Cell: 4.5783 9.1824 10.2642 Å, 103.36 102.89 90.00°
With the nearest neighbours (Å) after each atom.
Fractional positions:
1 Ac 0.6645 0.5884 0.3289  3 As 3.18-3.20, 3 Se 3.24-3.27
2 As 0.8337 0.1698 0.6673  6 Ac 3.15-3.22
3 Ac 0.0013 0.7365 0.0027  3 As 3.15-3.21, 1 Se 3.31, 2 Bi 3.34
4 Ac 0.9987 0.2635 0.9973  3 As 3.15-3.21, 1 Se 3.31, 2 Bi 3.34
5 As 0.5000 0.5000 0.0000  6 Ac 3.15-3.20
6 Se 0.8311 0.6638 0.6621  6 Ac 3.24-3.31
7 As 0.1663 0.8302 0.3327  6 Ac 3.15-3.22
8 Bi 0.5000 0.0000 0.0000  6 Ac 3.34
9 Ac 0.3281 0.9213 0.6563  3 As 3.15-3.22, 2 Se 3.30, 1 Bi 3.34
10 Ac 0.6719 0.0787 0.3437  3 As 3.15-3.22, 2 Se 3.30, 1 Bi 3.34
11 Ac 0.3355 0.4116 0.6711  3 As 3.18-3.20, 3 Se 3.24-3.27
12 Se 0.1689 0.3362 0.3379  6 Ac 3.24-3.31

Results
**Space-group type**: C2/m, No. 12
**Formation energy (no corrections)**: -1.561 eV per atom
**E**: -5.682 eV per atom

---

4.
SrAcBiAs | PBE-GGA | optimized geometry

Cell: 5.6956 5.6956 5.6956 Å, 60.00 60.00 60.00°
With the nearest neighbours (Å) after each atom.
Fractional positions:
1 Sr 0.0000 0.0000 0.0000  4 As 3.49, 4 Bi 3.49
2 Bi 0.7500 0.7500 0.7500  4 Ac 3.49, 4 Sr 3.49
3 Ac 0.5000 0.5000 0.5000  4 Bi 3.49, 4 As 3.49
4 As 0.2500 0.2500 0.2500  4 Sr 3.49, 4 Ac 3.49

Results
**Space-group type**: F-43m, No. 216
**E**: -4.398 eV per atom
**Energy of formation from the pure elements**: -818 meV per atom

---

5.
Sr3AcBi2As | PBE-GGA | optimized geometry

Cell: 5.9261 5.7054 9.6706 Å, 107.16 107.84 90.00°
With the nearest neighbours (Å) after each atom.
Fractional positions:
1 Sr 0.1781 0.1781 0.3561  1 As 3.12, 1 Bi 3.35
2 As 0.0000 0.0000 0.0000  4 Sr 2.85-3.12, 2 Ac 2.96
3 Bi 0.6308 0.6308 0.2616  3 Sr 3.35-3.74, 2 Ac 3.66
4 Sr 0.0000 0.5000 0.0000  2 As 2.85
5 Bi 0.3692 0.3692 0.7384  3 Sr 3.35-3.74, 2 Ac 3.66
6 Sr 0.8219 0.8219 0.6439  1 As 3.12, 1 Bi 3.35
7 Ac 0.5000 0.0000 0.0000  2 As 2.96

Results
**Space-group type**: Immm, No. 71
**E**: -3.974 eV per atom
**Energy of formation from the pure elements**: -894 meV per atom

---

6.
Ac8Bi4Te3As | PBE-GGA | optimized geometry

Cell: 9.5981 9.5513 9.5980 Å, 120.16 120.00 90.00°
With the nearest neighbours (Å) after each atom.
Fractional positions:
1 Te 0.0000 0.5000 0.5000  6 Ac 3.40
2 Bi 0.5000 0.0000 0.0000  6 Ac 3.49
3 As 0.0000 0.5000 0.0000  6 Ac 3.28
4 Bi 0.5000 0.0000 0.5000  6 Ac 3.37
5 Ac 0.7578 0.2560 0.5155  1 As 3.28, 3 Bi 3.37-3.49, 2 Te 3.40
6 Ac 0.2402 0.2562 0.9982  1 As 3.28, 3 Bi 3.37-3.49, 2 Te 3.40
7 Ac 0.2492 0.2475 0.4983  3 Bi 3.37, 3 Te 3.40
8 Ac 0.2420 0.7438 0.0018  1 As 3.28, 3 Bi 3.37-3.49, 2 Te 3.40
9 Ac 0.7580 0.2562 0.9982  1 As 3.28, 3 Bi 3.37-3.49, 2 Te 3.40
10 Ac 0.7508 0.7525 0.5017  3 Bi 3.37, 3 Te 3.40
11 Bi 0.0000 0.0000 0.5000  6 Ac 3.37
12 Te 0.5000 0.5000 0.5000  6 Ac 3.40
13 Te 0.5000 0.5000 0.0000  6 Ac 3.40
14 Bi 0.0000 0.0000 0.0000  6 Ac 3.37
15 Ac 0.7598 0.7438 0.0018  1 As 3.28, 3 Bi 3.37-3.49, 2 Te 3.40
16 Ac 0.2422 0.7440 0.4845  1 As 3.28, 3 Bi 3.37-3.49, 2 Te 3.40

Results
**Space-group type**: R-3m, No. 166
**Formation energy (no corrections)**: -1.267 eV per atom
**E**: -5.171 eV per atom